i:
Density functional theory data (PBE-GGA) for a relaxed structure of DyMnPd6.

Properties
Total magnetic moment = 4.6 μB per cell

Cell lengths 5.3674, 5.3674, 5.3674 Å; angles 87.62, 87.62, 87.62 degrees
With the nearest neighbours (Å) after each atom.
Sites, in units of the cell vectors:
Dy 0.0000 0.0000 0.0000  6 Pd 2.74
Mn 0.5000 0.5000 0.5000  6 Pd 2.55
Pd 0.1701 0.5387 0.1701  1 Mn 2.55, 5 Pd 2.69-2.82, 1 Dy 2.74
Pd 0.1701 0.1701 0.5387  1 Mn 2.55, 5 Pd 2.69-2.82, 1 Dy 2.74
Pd 0.8299 0.4613 0.8299  1 Mn 2.55, 5 Pd 2.69-2.82, 1 Dy 2.74
Pd 0.4613 0.8299 0.8299  1 Mn 2.55, 5 Pd 2.69-2.82, 1 Dy 2.74
Pd 0.8299 0.8299 0.4613  1 Mn 2.55, 5 Pd 2.69-2.82, 1 Dy 2.74
Pd 0.5387 0.1701 0.1701  1 Mn 2.55, 5 Pd 2.69-2.82, 1 Dy 2.74



ii:
Density functional theory data (PBE-GGA) for a relaxed structure of DyMnPd6.

Properties
Total magnetic moment = 4.2 μB per cell

Cell lengths 4.0410, 4.0410, 8.0028 Å; angles 90.00, 90.00, 90.00 degrees
With the nearest neighbours (Å) after each atom.
Sites, in units of the cell vectors:
Dy 0.0000 0.0000 0.0000  12 Pd 2.86-2.92
Mn 0.0000 0.0000 0.5000  12 Pd 2.77-2.86
Pd 0.5000 0.5000 0.0000  4 Dy 2.86, 8 Pd 2.92
Pd 0.5000 0.5000 0.5000  8 Pd 2.77, 4 Mn 2.86
Pd 0.5000 0.0000 0.2635  2 Mn 2.77, 8 Pd 2.77-2.92, 2 Dy 2.92
Pd 0.5000 0.0000 0.7365  8 Pd 2.77-2.92, 2 Mn 2.77, 2 Dy 2.92
Pd 0.0000 0.5000 0.2635  2 Mn 2.77, 8 Pd 2.77-2.92, 2 Dy 2.92
Pd 0.0000 0.5000 0.7365  8 Pd 2.77-2.92, 2 Mn 2.77, 2 Dy 2.92



Tell me which of them is the most stable. Sure, it is ii.